[1]
Computed, not measured: a geometry-optimized LiPu2F8 structure at the PBE level of DFT.

Cell lengths 6.9973, 6.9973, 5.3827 Å; angles 107.40, 107.40, 33.08 degrees
Element x y z (fractional)
Li: 0.0000 0.0000 0.0000
Pu: 0.3443 0.3443 0.3319
Pu: 0.6557 0.6557 0.6681
F: 0.0927 0.0927 0.7895
F: 0.1792 0.1792 0.4156
F: 0.2896 0.2896 0.8947
F: 0.4752 0.4752 0.7194
F: 0.5248 0.5248 0.2806
F: 0.7104 0.7104 0.1053
F: 0.8208 0.8208 0.5844
F: 0.9073 0.9073 0.2105

Summary:
Energy = -82.89 eV/cell
Theoretical density = 7.9 g/cm3
Symmetry = C2/m
Uncorrected formation energy = -78.28 kcal/mol of atoms
Excess energy over the best structure of this formula in the dataset = 0.25 eV per formula unit


[2]
Computed, not measured: a geometry-optimized Mn3CuPt4 structure at the PBE level of DFT.

Cell lengths 3.5644, 4.0647, 8.1463 Å; angles 90.00, 90.00, 90.00 degrees
Element x y z (fractional)
Mn: 0.0000 0.0000 0.0000
Mn: 0.0000 0.5000 0.2576
Mn: 0.0000 0.5000 0.7424
Cu: 0.0000 0.0000 0.5000
Pt: 0.5000 0.0000 0.2516
Pt: 0.5000 0.0000 0.7484
Pt: 0.5000 0.5000 0.0000
Pt: 0.5000 0.5000 0.5000

Summary:
Energy = -58.59 eV/cell
Theoretical density = 14.2 g/cm3
Calculated formation energy = -353 meV per atom
Symmetry = Pmmm


[3]
Computed, not measured: a geometry-optimized PaB3Os structure at the PBE level of DFT.

Cell lengths 5.2738, 5.2738, 5.2738 Å; angles 139.91, 139.91, 57.99 degrees
Element x y z (fractional)
Pa: 0.0000 0.0000 0.0000
B: 0.2977 0.7977 0.5000
B: 0.4065 0.4065 0.0000
B: 0.7977 0.2977 0.5000
Os: 0.6593 0.6593 0.0000

Summary:
Energy = -41.13 eV/cell
Theoretical density = 12.5 g/cm3
Calculated formation energy = -74 meV per atom
Symmetry = I4mm


[4]
Computed, not measured: a geometry-optimized LiNdHo2Pd4 structure at the PBE level of DFT.

Cell lengths 8.5536, 8.5536, 8.5536 Å; angles 32.97, 32.97, 32.97 degrees
Element x y z (fractional)
Li: 0.0000 0.0000 0.0000
Nd: 0.5000 0.5000 0.5000
Ho: 0.2609 0.2609 0.2609
Ho: 0.7391 0.7391 0.7391
Pd: 0.1136 0.1136 0.1136
Pd: 0.3775 0.3775 0.3775
Pd: 0.6225 0.6225 0.6225
Pd: 0.8864 0.8864 0.8864

Summary:
Energy = -42.62 eV/cell
Theoretical density = 9.1 g/cm3
Calculated formation energy = -751 meV per atom
Symmetry = R-3m


[5]
Computed, not measured: a geometry-optimized Rb2ZnGaI6 structure at the PBE level of DFT.

Cell lengths 8.2416, 8.2416, 8.2416 Å; angles 120.16, 120.16, 89.73 degrees
Element x y z (fractional)
Rb: 0.2500 0.7500 0.5000
Rb: 0.7500 0.2500 0.5000
Zn: 0.0000 0.0000 0.0000
Ga: 0.5000 0.5000 0.0000
I: 0.2475 0.2475 0.0000
I: 0.2475 0.2475 0.4950
I: 0.2475 0.7525 0.0000
I: 0.7525 0.2475 0.0000
I: 0.7525 0.7525 0.0000
I: 0.7525 0.7525 0.5050

Summary:
Energy = -23.58 eV/cell
Theoretical density = 4.5 g/cm3
Symmetry = I4/mmm
Uncorrected formation energy = -18.54 kcal/mol of atoms


[6]
Computed, not measured: a geometry-optimized Ba2U3Pt12Rh structure at the PBE level of DFT.

Cell lengths 7.7902, 7.7902, 7.7902 Å; angles 73.76, 73.76, 73.76 degrees
Element x y z (fractional)
Ba: 0.0992 0.0992 0.0992
Ba: 0.9008 0.9008 0.9008
U: 0.0000 0.5000 0.5000
U: 0.5000 0.0000 0.5000
U: 0.5000 0.5000 0.0000
Pt: 0.1162 0.1162 0.5228
Pt: 0.1162 0.5228 0.1162
Pt: 0.1642 0.6454 0.6454
Pt: 0.3546 0.3546 0.8358
Pt: 0.3546 0.8358 0.3546
Pt: 0.4772 0.8838 0.8838
Pt: 0.5228 0.1162 0.1162
Pt: 0.6454 0.1642 0.6454
Pt: 0.6454 0.6454 0.1642
Pt: 0.8358 0.3546 0.3546
Pt: 0.8838 0.4772 0.8838
Pt: 0.8838 0.8838 0.4772
Rh: 0.5000 0.5000 0.5000

Summary:
Energy = -121.65 eV/cell
Theoretical density = 13.4 g/cm3
Calculated formation energy = -228 meV per atom
Symmetry = R-3m


[7]
Computed, not measured: a geometry-optimized Co2ReRu structure at the PBE level of DFT.

Cell lengths 2.6149, 2.6149, 7.3243 Å; angles 90.00, 90.00, 90.00 degrees
Element x y z (fractional)
Co: 0.0000 0.0000 0.2473
Co: 0.0000 0.0000 0.7527
Re: 0.5000 0.5000 0.5000
Ru: 0.5000 0.5000 0.0000

Summary:
Energy = -35.42 eV/cell
Theoretical density = 13.4 g/cm3
Calculated formation energy = 129 meV per atom
Symmetry = P4/mmm
Excess energy over the best structure of this formula in the dataset = 0.30 eV per formula unit


[8]
Computed, not measured: a geometry-optimized NaY2Tm3Se6 structure at the PBE level of DFT.

Cell lengths 9.1127, 9.1127, 8.1820 Å; angles 103.25, 103.25, 25.63 degrees
Element x y z (fractional)
Na: 0.0000 0.0000 0.0000
Y: 0.3294 0.3294 0.6557
Y: 0.6706 0.6706 0.3443
Tm: 0.0000 0.0000 0.5000
Tm: 0.3347 0.3347 0.1737
Tm: 0.6653 0.6653 0.8263
Se: 0.1631 0.1631 0.5879
Se: 0.1690 0.1690 0.0794
Se: 0.5003 0.5003 0.2557
Se: 0.4997 0.4997 0.7443
Se: 0.8310 0.8310 0.9206
Se: 0.8369 0.8369 0.4121

Summary:
Energy = -69.15 eV/cell
Theoretical density = 6.9 g/cm3
Symmetry = C2/m
Uncorrected formation energy = -39.55 kcal/mol of atoms


[9]
Computed, not measured: a geometry-optimized LaPu2PaSb4 structure at the PBE level of DFT.

Cell lengths 7.7389, 7.7389, 7.7389 Å; angles 131.83, 131.83, 70.49 degrees
Element x y z (fractional)
La: 0.0000 0.0000 0.0000
Pu: 0.5000 0.5000 0.0000
Pu: 0.7500 0.2500 0.5000
Pa: 0.2500 0.7500 0.5000
Sb: 0.0045 0.5045 0.5000
Sb: 0.2542 0.2542 0.0000
Sb: 0.4955 0.9955 0.5000
Sb: 0.7458 0.7458 0.0000

Summary:
Energy = -65.46 eV/cell
Theoretical density = 8.9 g/cm3
Symmetry = I-4m2
Uncorrected formation energy = -16.96 kcal/mol of atoms


[10]
Computed, not measured: a geometry-optimized KCd2 structure at the PBE level of DFT.

Cell lengths 5.8406, 5.8406, 6.7824 Å; angles 90.00, 90.00, 120.00 degrees
Element x y z (fractional)
K: 0.3333 0.6667 0.2500
K: 0.6667 0.3333 0.7500
Cd: 0.0000 0.0000 0.0000
Cd: 0.0000 0.0000 0.5000
Cd: 0.3333 0.6667 0.7500
Cd: 0.6667 0.3333 0.2500

Summary:
Energy = -5.56 eV/cell
Theoretical density = 4.4 g/cm3
Calculated formation energy = 49 meV per atom
Symmetry = P6_3/mmc


[11]
Computed, not measured: a geometry-optimized Na2Sr15Ca2 structure at the PBE level of DFT.

Cell lengths 11.0214, 11.0214, 11.0214 Å; angles 65.07, 65.07, 65.07 degrees
Element x y z (fractional)
Na: 0.0743 0.0743 0.0743
Na: 0.9257 0.9257 0.9257
Sr: 0.0000 0.0000 0.5000
Sr: 0.0000 0.3132 0.6868
Sr: 0.0000 0.5000 0.0000
Sr: 0.0000 0.6868 0.3132
Sr: 0.2121 0.5575 0.5575
Sr: 0.3132 0.0000 0.6868
Sr: 0.3132 0.6868 0.0000
Sr: 0.4425 0.4425 0.7879
Sr: 0.4425 0.7879 0.4425
Sr: 0.5000 0.0000 0.0000
Sr: 0.5575 0.2121 0.5575
Sr: 0.5575 0.5575 0.2121
Sr: 0.6868 0.0000 0.3132
Sr: 0.6868 0.3132 0.0000
Sr: 0.7879 0.4425 0.4425
Ca: 0.2919 0.2919 0.2919
Ca: 0.7081 0.7081 0.7081

Summary:
Energy = -27.54 eV/cell
Theoretical density = 2.3 g/cm3
Calculated formation energy = 228 meV per atom
Symmetry = R-3m


[12]
Computed, not measured: a geometry-optimized CuIr3Se structure at the PBE level of DFT.

Cell lengths 4.5570, 4.5570, 4.5570 Å; angles 90.00, 90.00, 90.00 degrees
Element x y z (fractional)
Cu: 0.0000 0.0000 0.0000
Ir: 0.0000 0.5000 0.5000
Ir: 0.5000 0.0000 0.5000
Ir: 0.5000 0.5000 0.0000
Se: 0.5000 0.5000 0.5000

Summary:
Energy = -27.31 eV/cell
Theoretical density = 12.6 g/cm3
Symmetry = Pm-3m
Uncorrected formation energy = 31.59 kcal/mol of atoms
Excess energy over the best structure of this formula in the dataset = 0.00 eV per formula unit